Density functional theory data (GGA-PBE) for a relaxed Dy3ErTe crystal.

Calculated values
DOS(E_F) ... 5.4 states/eV/f.u.
Raw formation energy ... -335 meV/atom
Space-group type ... C2/m, No. 12

Unit cell a=5.7597 b=6.6639 c=9.0847 alpha=84.75 beta=90.00 gamma=115.60
Closest atoms and distances in Å follow each position.
Fractional coordinates of all 10 atoms:
Dy 0.0588 0.1176 0.1582  2 Te 3.07-3.31, 2 Dy 3.33-3.42, 2 Er 3.38
Dy 0.9412 0.8824 0.8418  2 Te 3.07-3.31, 2 Dy 3.33-3.42, 2 Er 3.38
Dy 0.6264 0.2528 0.8640  3 Te 3.07-3.25, 1 Er 3.29
Dy 0.3736 0.7472 0.1360  3 Te 3.07-3.25, 1 Er 3.29
Dy 0.8608 0.7216 0.4562  1 Te 3.17, 2 Dy 3.42-3.52, 2 Er 3.49
Dy 0.1392 0.2784 0.5438  1 Te 3.17, 2 Dy 3.42-3.52, 2 Er 3.49
Er 0.5793 0.1586 0.3489  1 Te 3.02, 1 Er 3.18, 1 Dy 3.29
Er 0.4207 0.8414 0.6511  1 Te 3.02, 1 Er 3.18, 1 Dy 3.29
Te 0.2135 0.4271 0.8684  1 Er 3.02, 6 Dy 3.07-3.31
Te 0.7865 0.5729 0.1316  1 Er 3.02, 6 Dy 3.07-3.31